Entry 1:
Compound: Ge2Au13
Source: the Alexandria database
Functional: PBE-GGA
Structure: optimized geometry

```
data_Ge2Au13
_chemical_formula_sum 'Ge6 Au39'
_cell_length_a 7.3276
_cell_length_b 7.3276
_cell_length_c 20.9188
_cell_angle_alpha 90.00
_cell_angle_beta 90.00
_cell_angle_gamma 120.00
_symmetry_space_group_name_H-M 'R -3 m'
_symmetry_Int_Tables_number 166
_symmetry_space_group_name_Hall '-R 3 2"'
loop_
_atom_site_label
_atom_site_type_symbol
_atom_site_fract_x
_atom_site_fract_y
_atom_site_fract_z
Ge1 Ge 0.0000 0.0000 0.1336
Au1 Au 0.0000 0.0000 0.0000
Au2 Au 0.0680 0.5340 0.4333
Au3 Au 0.0859 0.5430 0.2955
```

- electronic total energy (eV per cell) = -149.78
- ΔE_f (eV/atom) = 0.1277
- energy above the most stable polymorph in this dataset (eV per atom) = 0.077



Entry 2:
Compound: MgMnTe
Source: the Alexandria database
Functional: PBE-GGA
Structure: optimized geometry

```
data_MgMnTe
_chemical_formula_sum 'Mg2 Mn2 Te2'
_cell_length_a 3.6456
_cell_length_b 3.6456
_cell_length_c 9.1888
_cell_angle_alpha 90.00
_cell_angle_beta 90.00
_cell_angle_gamma 90.00
_symmetry_space_group_name_H-M 'I 4 m m'
_symmetry_Int_Tables_number 107
_symmetry_space_group_name_Hall 'I 4 -2'
loop_
_atom_site_label
_atom_site_type_symbol
_atom_site_fract_x
_atom_site_fract_y
_atom_site_fract_z
Mg1 Mg 0.0000 0.0000 0.0000
Mn1 Mn 0.0000 0.0000 0.3310
Te1 Te 0.0000 0.0000 0.6821
```

- electronic total energy (eV per cell) = -27.30
- energy above the most stable polymorph in this dataset (eV per atom) = 0.029



Entry 3:
Compound: Mn2AlHAu
Source: the Alexandria database
Functional: PBE-GGA
Structure: optimized geometry

```
data_Mn2AlHAu
_chemical_formula_sum 'Mn2 Al1 H1 Au1'
_cell_length_a 3.8085
_cell_length_b 3.8085
_cell_length_c 4.1221
_cell_angle_alpha 90.00
_cell_angle_beta 90.00
_cell_angle_gamma 90.00
_symmetry_space_group_name_H-M 'P 4/m m m'
_symmetry_Int_Tables_number 123
_symmetry_space_group_name_Hall '-P 4 2'
loop_
_atom_site_label
_atom_site_type_symbol
_atom_site_fract_x
_atom_site_fract_y
_atom_site_fract_z
Mn1 Mn 0.0000 0.5000 0.0000
Al1 Al 0.0000 0.0000 0.5000
H1 H 0.5000 0.5000 0.0000
Au1 Au 0.5000 0.5000 0.5000
```

- electronic total energy (eV per cell) = -28.89
- energy above the most stable polymorph in this dataset (eV per atom) = 0.055



Entry 4:
Compound: GaSn2HgH
Source: the Alexandria database
Functional: PBE-GGA
Structure: optimized geometry

```
data_GaSn2HgH
_chemical_formula_sum 'Ga1 Sn2 Hg1 H1'
_cell_length_a 5.7231
_cell_length_b 5.7231
_cell_length_c 3.3139
_cell_angle_alpha 90.00
_cell_angle_beta 90.00
_cell_angle_gamma 90.00
_symmetry_space_group_name_H-M 'P 4/m m m'
_symmetry_Int_Tables_number 123
_symmetry_space_group_name_Hall '-P 4 2'
loop_
_atom_site_label
_atom_site_type_symbol
_atom_site_fract_x
_atom_site_fract_y
_atom_site_fract_z
Ga1 Ga 0.0000 0.0000 0.0000
Sn1 Sn 0.0000 0.5000 0.0000
Hg1 Hg 0.5000 0.5000 0.5000
H1 H 0.0000 0.0000 0.5000
```

- electronic total energy (eV per cell) = -13.76



Entry 5:
Compound: CrOsPbC2
Source: the Alexandria database
Functional: PBE-GGA
Structure: optimized geometry

```
data_CrOsPbC2
_chemical_formula_sum 'Cr1 Os1 Pb1 C2'
_cell_length_a 3.9488
_cell_length_b 3.9488
_cell_length_c 5.4367
_cell_angle_alpha 90.00
_cell_angle_beta 90.00
_cell_angle_gamma 90.00
_symmetry_space_group_name_H-M 'P 4/m m m'
_symmetry_Int_Tables_number 123
_symmetry_space_group_name_Hall '-P 4 2'
loop_
_atom_site_label
_atom_site_type_symbol
_atom_site_fract_x
_atom_site_fract_y
_atom_site_fract_z
Cr1 Cr 0.0000 0.0000 0.0000
Os1 Os 0.0000 0.0000 0.5000
Pb1 Pb 0.5000 0.5000 0.0000
C1 C 0.0000 0.5000 0.5000
```

- electronic total energy (eV per cell) = -36.12
- ΔE_f (eV/atom) = 1.3776